#w
PBE Sr2CaBr, relaxed; spin magnetization = 0.000 μB per cell
1.0
6.568 0.153 -0.032
-1.040 6.487 -0.032
0.023 0.028 4.103
Sr Br Ca
2 1 1
Direct
0.000 0.000 0.000
0.500 0.500 0.000
0.500 0.000 0.500
0.000 0.500 0.500



#x
PBE Sr2CaBr, relaxed; spin magnetization = 0.000 μB per cell
1.0
0.000 4.523 4.523
4.523 0.000 4.523
4.523 4.523 0.000
Ca Sr Br
1 2 1
Direct
0.000 0.000 0.000
0.250 0.250 0.250
0.750 0.750 0.750
0.500 0.500 0.500



#y
PBE Sr2CaBr, relaxed; spin magnetization = 0.002 μB per cell
1.0
-3.406 -3.195 5.690
-3.978 -5.628 2.584
3.336 -5.148 3.418
Sr Br Ca
2 1 1
Direct
0.994 0.994 0.983
0.799 0.799 0.669
0.507 0.507 0.582
0.200 0.200 0.265



Which structure loses on stability? #x does.



#w
PBE Sr2CaBr, relaxed; spin magnetization = 0.000 μB per cell
1.0
-3.317 2.653 0.184
-2.550 -2.774 -5.968
-3.092 -4.088 3.222
Sr Br Ca
2 1 1
Direct
0.000 0.000 0.000
0.500 0.500 0.000
0.500 0.000 0.500
0.000 0.500 0.500



#x
PBE Sr2CaBr, relaxed; spin magnetization = 0.000 μB per cell
1.0
6.439 0.000 0.000
3.220 5.576 0.000
3.220 1.859 5.257
Sr Ca Br
2 1 1
Direct
0.250 0.250 0.250
0.000 0.000 0.000
0.750 0.750 0.750
0.500 0.500 0.500



Which structure loses on stability? #x does.



#w
PBE Sr2CaBr, relaxed; spin magnetization = 0.000 μB per cell
1.0
4.050 0.014 0.000
-1.678 3.686 0.000
0.000 0.000 11.335
Sr Br Ca
2 1 1
Direct
0.000 0.000 0.466
0.000 0.000 0.034
0.500 0.500 0.250
0.500 0.500 0.750



#x
PBE Sr2CaBr, relaxed; spin magnetization = 0.000 μB per cell
1.0
3.935 0.000 0.000
0.000 3.935 0.000
0.000 0.000 10.587
Sr Br Ca
2 1 1
Direct
0.000 0.000 0.781
0.000 0.000 0.219
0.500 0.500 0.000
0.500 0.500 0.500



#y
PBE Sr2CaBr, relaxed; spin magnetization = 0.000 μB per cell
1.0
4.033 0.000 0.000
0.000 4.184 -0.145
0.000 0.350 10.778
Sr Ca Br
2 1 1
Direct
0.000 0.248 0.481
0.000 0.252 0.019
0.500 0.750 0.750
0.500 0.250 0.250



#z
PBE Sr2CaBr, relaxed; spin magnetization = 0.000 μB per cell
1.0
-3.599 0.692 -1.449
-0.391 -3.827 -0.856
-4.268 -1.748 9.769
Sr Br Ca
2 1 1
Direct
0.500 0.500 0.296
0.000 0.000 0.995
0.000 0.000 0.485
0.500 0.500 0.724



Which structure loses on stability? #z does.



#w
PBE SrCa2Br, relaxed; spin magnetization = 0.000 μB per cell
1.0
-5.884 -2.899 -1.987
4.737 -4.004 2.915
-1.566 0.739 3.561
Br Sr Ca
1 1 2
Direct
0.000 0.500 0.500
0.500 0.000 0.500
0.500 0.500 0.000
0.000 0.000 0.000



#x
PBE SrCa2Br, relaxed; spin magnetization = 0.000 μB per cell
1.0
0.847 -0.706 6.189
-4.679 -2.188 3.584
0.374 -5.763 2.484
Br Ca Sr
1 2 1
Direct
0.000 0.000 0.000
0.250 0.250 0.250
0.750 0.750 0.750
0.500 0.500 0.500



#y
PBE SrCa2Br, relaxed; spin magnetization = 0.000 μB per cell
1.0
6.391 0.000 0.000
0.000 6.391 0.000
0.000 0.000 4.127
Ca Br Sr
2 1 1
Direct
0.000 0.000 0.000
0.500 0.500 0.000
0.000 0.500 0.500
0.500 0.000 0.500



Which structure loses on stability? #x does.



#w
PBE Sr2CaBr2, relaxed; spin magnetization = 1.681 μB per cell
1.0
-3.118 -8.821 -1.711
2.116 1.039 -9.214
3.670 -1.430 0.682
Sr Br Ca
4 4 2
Direct
0.170 0.670 0.500
0.330 0.170 0.500
0.830 0.330 0.500
0.670 0.830 0.500
0.130 0.370 0.000
0.870 0.630 0.000
0.370 0.870 0.000
0.630 0.130 0.000
0.000 0.000 0.000
0.500 0.500 0.000



#x
PBE Sr2CaBr2, relaxed; spin magnetization = 0.000 μB per cell
1.0
-1.538 5.002 -0.319
-3.228 -0.733 4.066
3.265 4.180 6.727
Sr Br Ca
2 2 1
Direct
0.635 0.635 0.731
0.365 0.365 0.269
0.750 0.250 0.500
0.250 0.750 0.500
0.000 0.000 0.000



Which structure loses on stability? #w does.



#w
PBE SrCaBr, relaxed; spin magnetization = 0.000 μB per cell
1.0
7.874 0.005 0.000
5.965 5.139 0.000
-6.920 -2.572 2.739
Br Ca Sr
1 1 1
Direct
0.001 0.001 0.000
0.347 0.347 0.000
0.651 0.651 0.000



#x
PBE SrCaBr, relaxed; spin magnetization = 0.000 μB per cell
1.0
-0.230 -5.454 -6.830
2.644 -6.631 -4.221
-3.500 -2.051 -0.011
Ca Sr Br
1 1 1
Direct
0.352 0.352 0.648
0.652 0.652 0.348
0.996 0.996 0.004



Which structure loses on stability? #w does.